# AlZn2Ru (PBE, optimized geometry)
# crystal system: orthorhombic
# ΔE_f: 0.003 eV/atom
# D(E_F): 4.91 states/eV/cell
# V: 120 Å³/cell
# magnetization: 0.0 μB/cell
data_AlZn2Ru
_chemical_formula_sum 'Al2 Zn4 Ru2'
_cell_length_a 2.9471
_cell_length_b 4.7557
_cell_length_c 8.5469
_cell_angle_alpha 90.00
_cell_angle_beta 90.00
_cell_angle_gamma 90.00
_space_group_name_H-M_alt 'C m m 2'
_space_group_IT_number 35
_space_group_name_Hall 'C 2 -2'
loop_
_atom_site_label
_atom_site_fract_x
_atom_site_fract_y
_atom_site_fract_z
_atom_site_occupancy
Al1 0.0000 0.0000 0.0000 1
Zn1 0.0000 0.0000 0.5224 1
Zn2 0.0000 0.5000 0.2624 1
Ru1 0.0000 0.5000 0.7708 1